# 1
Compound: Li4SnAu2
Source: Alexandria
Functional: PBE
Structure: optimized geometry

Cell: 2.967 4.794 17.440 Å, 90.00 90.00 90.00°
Sites, in units of the cell vectors:
Li  0.000  0.000  0.088
Li  0.000  0.000  0.355
Li  0.000  0.000  0.645
Li  0.000  0.000  0.912
Li  0.500  0.500  0.145
Li  0.500  0.500  0.412
Li  0.500  0.500  0.588
Li  0.500  0.500  0.855
Sn  0.000  0.500  0.000
Sn  0.500  0.000  0.500
Au  0.000  0.500  0.280
Au  0.000  0.500  0.720
Au  0.500  0.000  0.220
Au  0.500  0.000  0.780

Calculated values
total magnetic moment	0.0	μB per formula unit
SG	Immm
formation energy	-0.36	eV per atom
total energy	-2.961	eV per atom
excess energy over the best structure of this formula in the dataset	0.0000	eV/atom
N(E_F)	0.384	states/eV/atom


# 2
Compound: Er5Tm4
Source: Alexandria
Functional: PBE
Structure: optimized geometry

Cell: 8.938 8.938 8.938 Å, 157.10 96.46 88.06°
Sites, in units of the cell vectors:
Er  0.000  0.000  0.000
Er  0.292  0.000  0.292
Er  0.374  0.374  0.000
Er  0.626  0.626  0.000
Er  0.708  0.000  0.708
Tm  0.046  0.690  0.356
Tm  0.335  0.690  0.644
Tm  0.665  0.310  0.356
Tm  0.954  0.310  0.644

Calculated values
total magnetic moment	0.0	μB per formula unit
SG	Immm
formation energy	0.05	eV per atom
total energy	-4.477	eV per atom
excess energy over the best structure of this formula in the dataset	0.0000	eV/atom
N(E_F)	1.504	states/eV/atom


# 3
Compound: RbNa3Ta
Source: Alexandria
Functional: PBE
Structure: optimized geometry

Cell: 6.200 6.200 6.200 Å, 90.00 90.00 90.00°
Sites, in units of the cell vectors:
Rb  0.000  0.000  0.000
Na  0.000  0.500  0.500
Na  0.500  0.000  0.500
Na  0.500  0.500  0.000
Ta  0.500  0.500  0.500

Calculated values
total magnetic moment	5.3	μB per formula unit
SG	Pm-3m
formation energy	1.18	eV per atom
total energy	-2.172	eV per atom
excess energy over the best structure of this formula in the dataset	0.0000	eV/atom
N(E_F)	0.741	states/eV/atom


# 4
Compound: ZrScRu2
Source: Alexandria
Functional: PBE
Structure: optimized geometry

Cell: 8.412 3.156 5.440 Å, 90.00 102.47 90.00°
Sites, in units of the cell vectors:
Zr  0.000  0.000  0.000
Zr  0.500  0.500  0.000
Sc  0.000  0.500  0.500
Sc  0.500  0.000  0.500
Ru  0.249  0.500  0.250
Ru  0.251  0.000  0.750
Ru  0.749  0.000  0.250
Ru  0.751  0.500  0.750

Calculated values
total magnetic moment	0.0	μB per formula unit
SG	C2/m
formation energy	-0.22	eV per atom
total energy	-8.577	eV per atom
N(E_F)	0.686	states/eV/atom


# 5
Compound: LaB4Pt12
Source: Alexandria
Functional: PBE
Structure: optimized geometry

Cell: 6.952 6.952 6.952 Å, 109.47 109.47 109.47°
Sites, in units of the cell vectors:
La  0.000  0.000  0.000
B  0.000  0.000  0.500
B  0.000  0.500  0.000
B  0.500  0.000  0.000
B  0.500  0.500  0.500
Pt  0.143  0.326  0.817
Pt  0.183  0.509  0.326
Pt  0.183  0.857  0.674
Pt  0.326  0.183  0.509
Pt  0.326  0.817  0.143
Pt  0.491  0.674  0.817
Pt  0.509  0.326  0.183
Pt  0.674  0.183  0.857
Pt  0.674  0.817  0.491
Pt  0.817  0.143  0.326
Pt  0.817  0.491  0.674
Pt  0.857  0.674  0.183

Calculated values
total magnetic moment	0.0	μB per formula unit
SG	Im-3
formation energy	-0.31	eV per atom
total energy	-6.438	eV per atom
N(E_F)	0.317	states/eV/atom


# 6
Compound: SbIr2Br
Source: Alexandria
Functional: PBE
Structure: optimized geometry

Cell: 3.298 3.298 7.950 Å, 90.00 90.00 90.00°
Sites, in units of the cell vectors:
Sb  0.000  0.000  0.000
Ir  0.000  0.000  0.637
Ir  0.500  0.500  0.799
Br  0.500  0.500  0.402

Calculated values
total magnetic moment	0.0	μB per formula unit
SG	P4mm
total energy	-5.418	eV per atom
excess energy over the best structure of this formula in the dataset	0.1148	eV/atom
N(E_F)	0.917	states/eV/atom


# 7
Compound: BaNpBr5
Source: Alexandria
Functional: PBE
Structure: optimized geometry

Cell: 8.040 8.040 11.185 Å, 109.73 109.73 70.63°
Sites, in units of the cell vectors:
Ba  0.049  0.951  0.750
Ba  0.951  0.049  0.250
Np  0.500  0.500  0.000
Np  0.500  0.500  0.500
Br  0.154  0.766  0.016
Br  0.205  0.331  0.376
Br  0.234  0.846  0.484
Br  0.331  0.205  0.876
Br  0.410  0.590  0.750
Br  0.590  0.410  0.250
Br  0.669  0.795  0.124
Br  0.766  0.154  0.516
Br  0.795  0.669  0.624
Br  0.846  0.234  0.984

Calculated values
total magnetic moment	4.0	μB per formula unit
SG	C2/c
total energy	-4.963	eV per atom
N(E_F)	0.834	states/eV/atom


# 8
Compound: K3FeMo
Source: Alexandria
Functional: PBE
Structure: optimized geometry

Cell: 6.357 6.357 6.357 Å, 90.00 90.00 90.00°
Sites, in units of the cell vectors:
K  0.000  0.000  0.500
K  0.000  0.500  0.000
K  0.500  0.000  0.000
Fe  0.000  0.000  0.000
Mo  0.500  0.500  0.500

Calculated values
total magnetic moment	7.5	μB per formula unit
SG	Pm-3m
formation energy	1.72	eV per atom
total energy	-2.801	eV per atom
N(E_F)	10.446	states/eV/atom


# 9
Compound: BaCaPd2
Source: Alexandria
Functional: PBE
Structure: optimized geometry

Cell: 3.725 3.725 7.456 Å, 90.00 90.00 90.00°
Sites, in units of the cell vectors:
Ba  0.000  0.000  0.000
Ca  0.000  0.000  0.500
Pd  0.500  0.500  0.295
Pd  0.500  0.500  0.705

Calculated values
total magnetic moment	0.0	μB per formula unit
SG	P4/mmm
formation energy	-0.55	eV per atom
total energy	-4.124	eV per atom
excess energy over the best structure of this formula in the dataset	0.0222	eV/atom
N(E_F)	0.328	states/eV/atom


# 10
Compound: RbFeTc2
Source: Alexandria
Functional: PBE
Structure: optimized geometry

Cell: 6.345 6.345 6.345 Å, 90.00 90.00 90.00°
Sites, in units of the cell vectors:
Rb  0.000  0.000  0.000
Rb  0.000  0.500  0.500
Rb  0.500  0.000  0.500
Rb  0.500  0.500  0.000
Fe  0.000  0.000  0.500
Fe  0.000  0.500  0.000
Fe  0.500  0.000  0.000
Fe  0.500  0.500  0.500
Tc  0.250  0.250  0.250
Tc  0.250  0.250  0.750
Tc  0.250  0.750  0.250
Tc  0.250  0.750  0.750
Tc  0.750  0.250  0.250
Tc  0.750  0.250  0.750
Tc  0.750  0.750  0.250
Tc  0.750  0.750  0.750

Calculated values
total magnetic moment	0.0	μB per formula unit
SG	Fm-3m
formation energy	1.89	eV per atom
total energy	-5.647	eV per atom
excess energy over the best structure of this formula in the dataset	0.2577	eV/atom
N(E_F)	0.943	states/eV/atom


# 11
Compound: Ca2CdHg3
Source: Alexandria
Functional: PBE
Structure: optimized geometry

Cell: 9.981 9.373 6.180 Å, 76.81 66.11 37.08°
Sites, in units of the cell vectors:
Ca  0.247  0.753  0.753
Ca  0.250  0.250  0.250
Ca  0.750  0.750  0.750
Ca  0.753  0.247  0.247
Cd  0.333  0.333  0.667
Cd  0.667  0.667  0.333
Hg  0.168  0.168  0.832
Hg  0.168  0.664  0.336
Hg  0.336  0.832  0.168
Hg  0.664  0.168  0.832
Hg  0.832  0.336  0.664
Hg  0.832  0.832  0.168

Calculated values
total magnetic moment	0.0	μB per formula unit
SG	Fmmm
formation energy	-0.43	eV per atom
total energy	-1.405	eV per atom
excess energy over the best structure of this formula in the dataset	0.0000	eV/atom
N(E_F)	0.512	states/eV/atom


# 12
Compound: Sm7Tm12In
Source: Alexandria
Functional: PBE
Structure: optimized geometry

Cell: 6.103 9.315 11.105 Å, 96.84 100.30 90.07°
Sites, in units of the cell vectors:
Sm  0.000  0.000  0.000
Sm  0.151  0.353  0.946
Sm  0.205  0.801  0.600
Sm  0.247  0.254  0.251
Sm  0.753  0.746  0.749
Sm  0.795  0.199  0.400
Sm  0.849  0.647  0.054
Tm  0.054  0.450  0.646
Tm  0.095  0.903  0.302
Tm  0.301  0.700  0.902
Tm  0.350  0.153  0.550
Tm  0.400  0.601  0.207
Tm  0.452  0.051  0.847
Tm  0.548  0.949  0.153
Tm  0.600  0.399  0.793
Tm  0.650  0.847  0.450
Tm  0.699  0.300  0.098
Tm  0.905  0.097  0.698
Tm  0.946  0.550  0.354
In  0.500  0.500  0.500

Calculated values
total magnetic moment	0.0	μB per formula unit
SG	P-1
formation energy	-0.01	eV per atom
total energy	-4.486	eV per atom
N(E_F)	1.385	states/eV/atom


# 13
Compound: LaBe3Tc
Source: Alexandria
Functional: PBE
Structure: optimized geometry

Cell: 4.397 4.397 4.397 Å, 90.00 90.00 90.00°
Sites, in units of the cell vectors:
La  0.000  0.000  0.000
Be  0.000  0.500  0.500
Be  0.500  0.000  0.500
Be  0.500  0.500  0.000
Tc  0.500  0.500  0.500

Calculated values
total magnetic moment	0.0	μB per formula unit
SG	Pm-3m
formation energy	0.11	eV per atom
total energy	-5.186	eV per atom
excess energy over the best structure of this formula in the dataset	0.0000	eV/atom
N(E_F)	0.254	states/eV/atom


# 14
Compound: Ba4NaPb3
Source: Alexandria
Functional: PBE
Structure: optimized geometry

Cell: 10.638 10.638 10.638 Å, 33.66 33.66 33.66°
Sites, in units of the cell vectors:
Ba  0.117  0.117  0.117
Ba  0.369  0.369  0.369
Ba  0.631  0.631  0.631
Ba  0.883  0.883  0.883
Na  0.500  0.500  0.500
Pb  0.000  0.000  0.000
Pb  0.240  0.240  0.240
Pb  0.760  0.760  0.760

Calculated values
total magnetic moment	0.0	μB per formula unit
SG	R-3m
formation energy	-0.43	eV per atom
total energy	-2.948	eV per atom
N(E_F)	1.005	states/eV/atom


# 15
Compound: Nd3Mg4Hg4
Source: Alexandria
Functional: PBE
Structure: optimized geometry

Cell: 9.024 9.024 9.024 Å, 150.64 128.16 60.69°
Sites, in units of the cell vectors:
Nd  0.000  0.000  0.000
Nd  0.382  0.882  0.500
Nd  0.618  0.118  0.500
Mg  0.019  0.326  0.693
Mg  0.367  0.674  0.693
Mg  0.633  0.326  0.307
Mg  0.981  0.674  0.307
Hg  0.224  0.224  0.000
Hg  0.299  0.500  0.799
Hg  0.701  0.500  0.201
Hg  0.776  0.776  0.000

Calculated values
total magnetic moment	0.0	μB per formula unit
SG	Immm
formation energy	-0.36	eV per atom
total energy	-2.348	eV per atom
N(E_F)	1.019	states/eV/atom


# 16
Compound: Ac2ScOsO6
Source: Alexandria
Functional: PBE
Structure: optimized geometry

Cell: 5.677 5.680 5.680 Å, 62.54 62.50 62.48°
Sites, in units of the cell vectors:
Ac  0.247  0.247  0.246
Ac  0.753  0.753  0.754
Sc  0.500  0.500  0.500
Os  0.000  0.000  0.000
O  0.181  0.317  0.747
O  0.254  0.820  0.682
O  0.317  0.745  0.181
O  0.683  0.255  0.819
O  0.746  0.180  0.318
O  0.819  0.683  0.253

Calculated values
total magnetic moment	1.0	μB per formula unit
SG	P-1
total energy	-8.247	eV per atom
N(E_F)	0.408	states/eV/atom


# 17
Compound: Sr
Source: Alexandria
Functional: PBE
Structure: optimized geometry

Cell: 12.862 12.862 12.862 Å, 90.00 90.00 90.00°
Sites, in units of the cell vectors:
Sr  0.112  0.112  0.888
Sr  0.112  0.888  0.112
Sr  0.196  0.196  0.196
Sr  0.196  0.804  0.804
Sr  0.304  0.304  0.696
Sr  0.304  0.696  0.304
Sr  0.388  0.388  0.388
Sr  0.388  0.612  0.612
Sr  0.612  0.388  0.612
Sr  0.612  0.612  0.388
Sr  0.696  0.304  0.304
Sr  0.696  0.696  0.696
Sr  0.804  0.196  0.804
Sr  0.804  0.804  0.196
Sr  0.888  0.112  0.112
Sr  0.888  0.888  0.888

Calculated values
total magnetic moment	0.0	μB per formula unit
SG	I-43m
formation energy	0.79	eV per atom
total energy	-0.893	eV per atom
excess energy over the best structure of this formula in the dataset	0.7891	eV/atom
N(E_F)	1.139	states/eV/atom


# 18
Compound: ReNiCl2
Source: Alexandria
Functional: PBE
Structure: optimized geometry

Cell: 6.197 6.205 3.015 Å, 90.00 90.00 90.00°
Sites, in units of the cell vectors:
Re  0.000  0.000  0.000
Re  0.500  0.500  0.000
Ni  0.000  0.500  0.000
Ni  0.500  0.000  0.000
Cl  0.250  0.250  0.500
Cl  0.250  0.750  0.500
Cl  0.750  0.250  0.500
Cl  0.750  0.750  0.500

Calculated values
total magnetic moment	1.5	μB per formula unit
SG	Cmmm
total energy	-4.382	eV per atom
excess energy over the best structure of this formula in the dataset	1.0274	eV/atom
N(E_F)	1.306	states/eV/atom


# 19
Compound: Rb2Cd3Bi4Pb
Source: Alexandria
Functional: PBE
Structure: optimized geometry

Cell: 5.417 5.417 12.343 Å, 90.00 90.00 90.00°
Sites, in units of the cell vectors:
Rb  0.000  0.500  0.242
Rb  0.500  0.000  0.758
Cd  0.000  0.500  0.878
Cd  0.500  0.000  0.122
Cd  0.500  0.500  0.500
Bi  0.000  0.000  0.000
Bi  0.000  0.500  0.635
Bi  0.500  0.000  0.365
Bi  0.500  0.500  0.000
Pb  0.000  0.000  0.500

Calculated values
total magnetic moment	0.0	μB per formula unit
SG	P-4m2
formation energy	-0.19	eV per atom
total energy	-2.577	eV per atom
N(E_F)	0.329	states/eV/atom


# 20
Compound: Tb2Sm3Y3
Source: Alexandria
Functional: PBE
Structure: optimized geometry

Cell: 5.730 14.647 6.327 Å, 90.00 90.04 90.00°
Sites, in units of the cell vectors:
Tb  0.250  0.125  0.167
Tb  0.250  0.375  0.167
Tb  0.750  0.625  0.833
Tb  0.750  0.875  0.833
Sm  0.250  0.250  0.668
Sm  0.250  0.625  0.165
Sm  0.250  0.875  0.165
Sm  0.750  0.125  0.835
Sm  0.750  0.375  0.835
Sm  0.750  0.750  0.332
Y  0.250  0.000  0.668
Y  0.250  0.500  0.668
Y  0.250  0.750  0.665
Y  0.750  0.000  0.332
Y  0.750  0.250  0.335
Y  0.750  0.500  0.332

Calculated values
total magnetic moment	0.0	μB per formula unit
SG	P2_1/m
formation energy	0.02	eV per atom
total energy	-5.335	eV per atom
excess energy over the best structure of this formula in the dataset	0.0000	eV/atom
N(E_F)	1.903	states/eV/atom


# 21
Compound: KNiH2
Source: Alexandria
Functional: PBE
Structure: optimized geometry

Cell: 2.992 2.992 16.902 Å, 90.00 90.00 120.00°
Sites, in units of the cell vectors:
K  0.000  0.000  0.000
K  0.333  0.667  0.667
K  0.667  0.333  0.333
Ni  0.000  0.000  0.500
Ni  0.333  0.667  0.167
Ni  0.667  0.333  0.833
H  0.000  0.000  0.211
H  0.000  0.000  0.789
H  0.333  0.667  0.456
H  0.333  0.667  0.877
H  0.667  0.333  0.123
H  0.667  0.333  0.544

Calculated values
total magnetic moment	0.0	μB per formula unit
SG	R-3m
total energy	-3.144	eV per atom
excess energy over the best structure of this formula in the dataset	0.2430	eV/atom
N(E_F)	0.397	states/eV/atom


# 22
Compound: YCr2P
Source: Alexandria
Functional: PBE
Structure: optimized geometry

Cell: 3.374 3.374 21.112 Å, 90.00 90.00 120.00°
Sites, in units of the cell vectors:
Y  0.000  0.000  0.000
Y  0.333  0.667  0.667
Y  0.667  0.333  0.333
Cr  0.000  0.000  0.220
Cr  0.000  0.000  0.780
Cr  0.333  0.667  0.447
Cr  0.333  0.667  0.886
Cr  0.667  0.333  0.114
Cr  0.667  0.333  0.553
P  0.000  0.000  0.500
P  0.333  0.667  0.167
P  0.667  0.333  0.833

Calculated values
total magnetic moment	1.0	μB per formula unit
SG	R-3m
formation energy	0.13	eV per atom
total energy	-7.647	eV per atom
N(E_F)	0.828	states/eV/atom


# 23
Compound: La4Sn2Te
Source: Alexandria
Functional: PBE
Structure: optimized geometry

Cell: 5.794 5.794 16.863 Å, 90.00 90.00 90.00°
Sites, in units of the cell vectors:
La  0.000  0.000  0.184
La  0.000  0.000  0.816
La  0.000  0.500  0.000
La  0.000  0.500  0.500
La  0.500  0.000  0.000
La  0.500  0.000  0.500
La  0.500  0.500  0.316
La  0.500  0.500  0.684
Sn  0.000  0.000  0.375
Sn  0.000  0.000  0.625
Sn  0.500  0.500  0.125
Sn  0.500  0.500  0.875
Te  0.000  0.000  0.000
Te  0.500  0.500  0.500

Calculated values
total magnetic moment	0.0	μB per formula unit
SG	I4/mmm
total energy	-4.879	eV per atom
excess energy over the best structure of this formula in the dataset	0.2231	eV/atom
N(E_F)	0.719	states/eV/atom


# 24
Compound: GaHg2Se
Source: Alexandria
Functional: PBE
Structure: optimized geometry

Cell: 3.066 3.066 34.793 Å, 90.00 90.00 120.00°
Sites, in units of the cell vectors:
Ga  0.000  0.000  0.000
Ga  0.333  0.667  0.667
Ga  0.667  0.333  0.333
Hg  0.000  0.000  0.082
Hg  0.000  0.000  0.918
Hg  0.333  0.667  0.585
Hg  0.333  0.667  0.749
Hg  0.667  0.333  0.251
Hg  0.667  0.333  0.415
Se  0.000  0.000  0.500
Se  0.333  0.667  0.167
Se  0.667  0.333  0.833

Calculated values
total magnetic moment	0.0	μB per formula unit
SG	R-3m
total energy	-1.587	eV per atom
excess energy over the best structure of this formula in the dataset	0.1527	eV/atom
N(E_F)	0.362	states/eV/atom